Ho2Er12Zr | Alexandria | GGA-PBE | relaxed; DOS(E_F) = 1.524 states/eV/atom; DFT formation energy = 414 meV per atom; calculated volume = 32.48 A^3/atom; crystal system = tetragonal
1.0
6.413 0.000 0.000
0.000 6.413 0.000
0.000 0.000 23.686
Ho Er Zr
4 24 2
Cartesian
3.207 0.000 6.393 Ho
0.000 3.207 6.393 Ho
0.000 3.207 17.293 Ho
3.207 0.000 17.293 Ho
3.207 3.207 18.842 Er
0.000 0.000 18.842 Er
4.815 4.806 21.397 Er
1.608 4.815 21.397 Er
0.000 0.000 7.925 Er
1.599 4.806 2.289 Er
5.332 2.125 13.342 Er
3.207 3.207 7.925 Er
1.599 1.608 21.397 Er
4.806 4.815 2.289 Er
2.125 1.081 13.342 Er
4.288 1.081 10.344 Er
0.000 0.000 15.761 Er
1.081 2.125 10.344 Er
1.608 1.599 2.289 Er
5.332 4.288 10.344 Er
4.288 5.332 13.342 Er
0.000 0.000 4.844 Er
1.081 4.288 13.342 Er
3.207 3.207 15.761 Er
4.806 1.599 21.397 Er
3.207 3.207 4.844 Er
2.125 5.332 10.344 Er
4.815 1.608 2.289 Er
3.207 0.000 0.000 Zr
0.000 3.207 0.000 Zr

***

Ho2ErZr | Alexandria | GGA-PBE | relaxed; DOS(E_F) = 1.881 states/eV/atom; relative energy among the computed polymorphs = 0.46 eV per formula unit; DFT formation energy = 167 meV per atom; calculated volume = 28.61 A^3/atom; crystal system = tetragonal
1.0
4.002 0.000 0.000
0.000 4.002 0.000
0.000 0.000 7.145
Ho Zr Er
2 1 1
Cartesian
0.000 0.000 5.201 Ho
0.000 0.000 1.944 Ho
2.001 2.001 3.573 Zr
2.001 2.001 0.000 Er

***

Ho6Er12Zr | Alexandria | GGA-PBE | relaxed; DOS(E_F) = 1.854 states/eV/atom; relative energy among the computed polymorphs = 1.59 eV per formula unit; DFT formation energy = 248 meV per atom; calculated volume = 31.61 A^3/atom; crystal system = trigonal
1.0
8.468 -0.154 -1.167
-1.318 8.366 -1.167
-0.134 -0.154 8.547
Ho Er Zr
6 12 1
Cartesian
7.079 2.512 6.269 Ho
6.406 7.357 0.744 Ho
1.514 7.357 6.269 Ho
0.609 0.700 5.468 Ho
-0.064 5.545 -0.057 Ho
5.501 0.700 -0.057 Ho
6.010 1.850 3.106 Er
2.811 0.568 2.489 Er
2.492 2.862 -0.126 Er
6.839 5.195 3.723 Er
4.523 5.195 6.338 Er
4.204 7.489 3.723 Er
3.205 6.207 0.622 Er
1.308 4.029 5.590 Er
1.005 6.207 3.106 Er
3.810 1.850 5.590 Er
5.707 4.029 0.622 Er
0.176 2.862 2.489 Er
0.000 0.000 0.000 Zr